Compound: CaPrHoAl
Source: Alexandria via LeMat-Bulk
Functional: PBE
Structure: relaxed

```
CaPrHoAl
1.0
5.4612 0.0000 0.0000
2.7306 4.7296 0.0000
2.7306 1.5765 4.4591
Pr Ca Ho Al
1 1 1 1
Direct
0.0000 0.0000 0.0000 Pr
0.7500 0.7500 0.7500 Ca
0.5000 0.5000 0.5000 Ho
0.2500 0.2500 0.2500 Al
```

Calculated values
- DFT formation energy: -0.24 eV/f.u.

---

Compound: CaHoAlS4
Source: Alexandria via LeMat-Bulk
Functional: PBE
Structure: relaxed

```
CaHoAlS4
1.0
7.6224 0.0000 0.0000
3.8112 6.7291 0.0631
3.8112 2.1100 6.3900
Ca Ho Al S
2 2 2 8
Direct
0.5000 0.0000 0.5000 Ca
0.0000 0.0000 0.5000 Ca
0.0000 0.0000 0.0000 Ho
0.0000 0.5000 0.5000 Ho
0.6334 0.6166 0.1166 Al
0.3666 0.3834 0.8834 Al
0.7516 0.7387 0.7581 S
0.2484 0.7419 0.7613 S
0.7516 0.2581 0.2387 S
0.2484 0.2613 0.2419 S
0.2587 0.7437 0.2437 S
0.7539 0.7437 0.2437 S
0.2461 0.2563 0.7563 S
0.7413 0.2563 0.7563 S
```

Calculated values
- Formation energy from raw total energies: -11.67 eV/f.u.

---

Compound: CaSmHoAl
Source: Alexandria via LeMat-Bulk
Functional: PBE
Structure: relaxed

```
CaSmHoAl
1.0
-1.2166 2.1750 -4.8116
2.7289 -1.5193 -4.4280
-2.4436 -3.0033 -3.7909
Ca Ho Sm Al
1 1 1 1
Direct
0.2500 0.2500 0.2500 Ca
0.0000 0.0000 0.0000 Ho
0.5000 0.5000 0.5000 Sm
0.7500 0.7500 0.7500 Al
```

Calculated values
- DFT formation energy: -0.22 eV/f.u.

---

Compound: CaTbHoAl
Source: Alexandria via LeMat-Bulk
Functional: PBE
Structure: relaxed

```
CaTbHoAl
1.0
5.3836 0.0000 0.0000
2.6918 4.6623 0.0000
2.6918 1.5541 4.3957
Ca Tb Ho Al
1 1 1 1
Direct
0.2500 0.2500 0.2500 Ca
0.0000 0.0000 0.0000 Tb
0.5000 0.5000 0.5000 Ho
0.7500 0.7500 0.7500 Al
```

Calculated values
- DFT formation energy: -0.19 eV/f.u.

---

Compound: CaHoAlTl
Source: Alexandria via LeMat-Bulk
Functional: PBE
Structure: relaxed

```
CaHoAlTl
1.0
-1.8058 2.7372 -4.1628
-4.5990 -1.3457 -2.2628
-4.2335 3.1430 0.5301
Tl Ca Ho Al
1 1 1 1
Direct
0.0000 0.0000 0.0000 Tl
0.7500 0.7500 0.7500 Ca
0.2500 0.2500 0.2500 Ho
0.5000 0.5000 0.5000 Al
```

Calculated values
- DFT formation energy: -1.16 eV/f.u.

---

Compound: CaHoAl2Zn2
Source: Alexandria via LeMat-Bulk
Functional: PBE
Structure: relaxed

```
CaHoAl2Zn2
1.0
4.5393 0.0000 0.0000
-2.2697 3.9312 0.0000
0.0000 0.0000 7.2622
Ca Ho Al Zn
1 1 2 2
Direct
0.0000 0.0000 0.0000 Ca
0.0000 0.0000 0.5000 Ho
0.3333 0.6667 0.7186 Al
0.6667 0.3333 0.2814 Al
0.3333 0.6667 0.2836 Zn
0.6667 0.3333 0.7164 Zn
```

Calculated values
- DFT formation energy: -2.26 eV/f.u.

---

Compound: Ca2Al2I
Source: Alexandria via LeMat-Bulk
Functional: PBE
Structure: relaxed

```
Ca2Al2I
1.0
-4.5586 0.2133 -7.5853
1.2064 -8.7159 -0.9701
-3.3737 -0.6905 2.0081
I Ca Al
2 4 4
Direct
0.0000 0.0000 0.0000 I
0.5000 0.5000 0.0000 I
0.3107 0.8107 0.0000 Ca
0.8107 0.6893 0.0000 Ca
0.6893 0.1893 0.0000 Ca
0.1893 0.3107 0.0000 Ca
0.0999 0.5999 0.5000 Al
0.5999 0.9001 0.5000 Al
0.9001 0.4001 0.5000 Al
0.4001 0.0999 0.5000 Al
```

Calculated values
- Formation energy from raw total energies: -1.46 eV/f.u.

---

Compound: CaAl2I
Source: Alexandria via LeMat-Bulk
Functional: PBE
Structure: relaxed

```
CaAl2I
1.0
0.0000 3.8528 3.8528
3.8528 0.0000 3.8528
3.8528 3.8528 0.0000
I Ca Al
1 1 2
Direct
0.5000 0.5000 0.5000 I
0.0000 0.0000 0.0000 Ca
0.2500 0.2500 0.2500 Al
0.7500 0.7500 0.7500 Al
```

Calculated values
- Formation energy from raw total energies: 1.27 eV/f.u.

---

Compound: CaAl2I
Source: Alexandria via LeMat-Bulk
Functional: PBE
Structure: relaxed

```
CaAl2I
1.0
8.8328 0.0000 0.0000
0.0000 8.8328 0.0000
4.4164 4.4164 3.0092
I Ca Al
2 2 4
Direct
0.0000 0.0000 0.0000 I
0.7500 0.2500 0.5000 I
0.5000 0.5000 0.0000 Ca
0.2500 0.7500 0.5000 Ca
0.6307 0.1250 0.2500 Al
0.1193 0.6250 0.2500 Al
0.3750 0.3693 0.7500 Al
0.8750 0.8807 0.7500 Al
```

Calculated values
- Formation energy from raw total energies: 0.52 eV/f.u.

---

Compound: CaAlI5
Source: Alexandria via LeMat-Bulk
Functional: PBE
Structure: relaxed

```
CaAlI5
1.0
-8.1387 0.7077 -0.8543
-0.8398 -8.1174 -0.9383
3.0548 2.4246 10.7436
Ca Al I
2 2 10
Direct
0.5000 0.0000 0.0000 Ca
0.5000 0.0000 0.5000 Ca
0.8922 0.6079 0.2500 Al
0.1078 0.3921 0.7500 Al
0.7646 0.7100 0.0512 I
0.2285 0.6526 0.3373 I
0.4090 0.0909 0.2500 I
0.7903 0.7357 0.4490 I
0.2097 0.2643 0.5510 I
0.8473 0.2717 0.1627 I
0.1527 0.7283 0.8373 I
0.5910 0.9091 0.7500 I
0.7715 0.3474 0.6627 I
0.2354 0.2900 0.9488 I
```

Calculated values
- Formation energy from raw total energies: -7.10 eV/f.u.

---

Compound: Ca2Al4I
Source: Alexandria via LeMat-Bulk
Functional: PBE
Structure: relaxed

```
Ca2Al4I
1.0
5.6074 0.0000 0.0000
0.0000 5.6074 0.0000
2.8037 2.8037 7.7321
I Ca Al
1 2 4
Direct
0.0000 0.0000 0.0000 I
0.6189 0.6189 0.7622 Ca
0.3811 0.3811 0.2378 Ca
0.8224 0.8224 0.3553 Al
0.1776 0.1776 0.6447 Al
0.0000 0.5000 0.0000 Al
0.5000 0.0000 0.0000 Al
```

Calculated values
- Formation energy from raw total energies: 4.26 eV/f.u.

---

Compound: CaAlI6
Source: Alexandria via LeMat-Bulk
Functional: PBE
Structure: relaxed

```
CaAlI6
1.0
7.4896 0.3749 0.0000
2.2068 7.0298 0.0000
1.1034 3.5149 7.0022
Ca Al I
1 1 6
Direct
0.0000 0.0000 0.0000 Ca
0.5000 0.5000 0.0000 Al
0.7481 0.4497 0.7191 I
0.7481 0.1688 0.2809 I
0.2519 0.8312 0.7191 I
0.2519 0.5503 0.2809 I
0.6782 0.7953 0.0000 I
0.3218 0.2047 0.0000 I
```

Calculated values
- Formation energy from raw total energies: -6.21 eV/f.u.

---

Compound: CaAl3I
Source: Alexandria via LeMat-Bulk
Functional: PBE
Structure: relaxed

```
CaAl3I
1.0
5.9153 0.0000 0.0000
0.0000 5.9153 0.0000
0.0000 0.0000 5.9153
I Ca Al
1 1 3
Direct
0.5000 0.5000 0.5000 I
0.0000 0.0000 0.0000 Ca
0.0000 0.5000 0.0000 Al
0.0000 0.0000 0.5000 Al
0.5000 0.0000 0.0000 Al
```

Calculated values
- Formation energy from raw total energies: 4.84 eV/f.u.

---

Compound: Ca2Al2I
Source: Alexandria via LeMat-Bulk
Functional: PBE
Structure: relaxed

```
Ca2Al2I
1.0
-6.1009 -0.4904 -0.1322
0.4134 -3.8688 -4.7266
-2.6355 -5.5092 0.3142
I Ca Al
1 2 2
Direct
0.0000 0.0000 0.0000 I
0.7500 0.2500 0.5000 Ca
0.2500 0.7500 0.5000 Ca
0.3561 0.3561 0.2879 Al
0.6439 0.6439 0.7121 Al
```

Calculated values
- Formation energy from raw total energies: -0.15 eV/f.u.

---

Compound: CaAl3I
Source: Alexandria via LeMat-Bulk
Functional: PBE
Structure: relaxed

```
CaAl3I
1.0
-2.1534 -4.9064 1.7819
-0.2455 -1.8302 -5.3362
5.2142 -2.1125 0.4846
I Ca Al
1 1 3
Direct
0.0000 0.0000 0.0000 I
0.5000 0.5000 0.5000 Ca
0.0000 0.5000 0.0000 Al
0.0000 0.0000 0.5000 Al
0.5000 0.0000 0.0000 Al
```

Calculated values
- Formation energy from raw total energies: 3.76 eV/f.u.

---

Compound: CaAl2I8
Source: Alexandria via LeMat-Bulk
Functional: PBE
Structure: relaxed

```
CaAl2I8
1.0
-6.5751 -0.9279 2.6385
1.3294 -8.4626 2.9105
2.2354 1.4340 8.6487
Ca Al I
1 2 8
Direct
0.0000 0.0000 0.0000 Ca
0.6619 0.8016 0.8016 Al
0.3381 0.1984 0.1984 Al
0.2339 0.2857 0.9258 I
0.7661 0.0742 0.7143 I
0.2989 0.8052 0.8052 I
0.7011 0.1948 0.1948 I
0.2339 0.9258 0.2857 I
0.7661 0.7143 0.0742 I
0.8083 0.6279 0.6279 I
0.1917 0.3721 0.3721 I
```

Calculated values
- Formation energy from raw total energies: -10.22 eV/f.u.

---

Compound: CaAl3I12
Source: Alexandria via LeMat-Bulk
Functional: PBE
Structure: relaxed

```
CaAl3I12
1.0
12.2188 0.0000 5.9003
4.6848 11.2850 5.9003
-0.1836 -0.1226 15.9821
Ca Al I
2 6 24
Direct
0.0091 0.0091 0.9728 Ca
0.5091 0.5091 0.4728 Ca
0.7589 0.3248 0.9901 Al
0.2589 0.4262 0.4901 Al
0.8248 0.2589 0.4901 Al
0.3248 0.9262 0.9901 Al
0.9262 0.7589 0.9901 Al
0.4262 0.8248 0.4901 Al
0.1211 0.0247 0.1022 I
0.2952 0.2096 0.5718 I
0.9545 0.0699 0.4378 I
0.9417 0.2744 0.8447 I
0.4417 0.4393 0.3447 I
0.4545 0.0378 0.9378 I
0.7952 0.4235 0.0718 I
0.0699 0.5378 0.4378 I
0.6211 0.2520 0.6022 I
0.9235 0.2952 0.5718 I
0.7744 0.4417 0.3447 I
0.2520 0.5247 0.6022 I
0.0378 0.5699 0.9378 I
0.7520 0.1211 0.1022 I
0.2744 0.9393 0.8447 I
0.4235 0.7096 0.0718 I
0.7096 0.7952 0.0718 I
0.5699 0.4545 0.9378 I
0.5247 0.6211 0.6022 I
0.9393 0.9417 0.8447 I
0.4393 0.7744 0.3447 I
0.0247 0.7520 0.1022 I
0.2096 0.9235 0.5718 I
0.5378 0.9545 0.4378 I
```

Calculated values
- Formation energy from raw total energies: -12.27 eV/f.u.

---

Compound: Ca2MnAlI
Source: Alexandria via LeMat-Bulk
Functional: PBE
Structure: relaxed

```
Ca2MnAlI
1.0
-3.2753 -4.7135 1.4626
3.9803 -2.8257 -0.1931
1.0323 1.0622 5.7350
I Ca Mn Al
1 2 1 1
Direct
0.5000 0.5000 0.5000 I
0.0000 0.0000 0.5000 Ca
0.5000 0.0000 0.0000 Ca
0.0000 0.5000 0.0000 Mn
0.0000 0.0000 0.0000 Al
```

Calculated values
- Formation energy from raw total energies: -0.01 eV/f.u.

---

Compound: CaAlIN2
Source: Alexandria via LeMat-Bulk
Functional: PBE
Structure: relaxed

```
CaAlIN2
1.0
4.0016 0.0000 0.0000
0.0000 4.0016 0.0000
0.0000 0.0000 5.6687
I Ca Al N
1 1 1 2
Direct
0.0000 0.0000 0.5000 I
0.5000 0.5000 0.5000 Ca
0.0000 0.0000 0.0000 Al
0.0000 0.5000 0.0000 N
0.5000 0.0000 0.0000 N
```

Calculated values
- Formation energy from raw total energies: 1.01 eV/f.u.

---

Compound: CaAlIN2
Source: Alexandria via LeMat-Bulk
Functional: PBE
Structure: relaxed

```
CaAlIN2
1.0
-2.0875 -1.3167 4.0842
-4.0463 -0.9083 -2.3610
1.9148 -6.0250 -0.9638
I Ca Al N
1 1 1 2
Direct
0.0000 0.0000 0.5000 I
0.0000 0.0000 0.0000 Ca
0.5000 0.5000 0.5000 Al
0.0000 0.5000 0.0000 N
0.5000 0.0000 0.0000 N
```

Calculated values
- Formation energy from raw total energies: 5.57 eV/f.u.